Record 1
{"formula": "K2YAl", "functional": "PBE-GGA", "state": "optimized geometry", "n_ef_per_ev_fu": 3.733, "formation_enthalpy_0k_mev_per_atom": 141, "magmom_total_mub_per_cell": 0.000, "lattice": [[3.8559, 0.0000, 0.0000], [0.0000, 3.8575, -0.0099], [0.0000, 3.8774, 11.3680]], "species": ["K", "Al", "Y", "K"], "frac_coords": [[0.5000, 0.2092, 0.2904], [0.5000, 0.7996, 0.7012], [0.0000, 0.4158, 0.5848], [0.0000, 0.0754, 0.9236]]}

Record 2
{"formula": "K2YAl", "functional": "PBE-GGA", "state": "optimized geometry", "n_ef_per_ev_fu": 4.946, "formation_enthalpy_0k_mev_per_atom": 413, "magmom_total_mub_per_cell": 0.981, "lattice": [[7.2255, 0.0030, 0.0000], [4.1869, 5.8888, 0.0000], [-5.7062, -2.9459, 3.3119]], "species": ["K", "Al", "K", "Y"], "frac_coords": [[0.5000, 0.5000, 0.0000], [0.7500, 0.2500, 0.5000], [0.0000, 0.0000, 0.0000], [0.2500, 0.7500, 0.5000]]}

Record 3
{"formula": "K2YAl", "functional": "PBE-GGA", "state": "optimized geometry", "n_ef_per_ev_fu": 5.020, "formation_enthalpy_0k_mev_per_atom": 531, "magmom_total_mub_per_cell": 0.763, "lattice": [[-0.0177, -3.4981, 0.4833], [3.0125, -0.7778, -5.5194], [5.8938, 0.4068, 3.1595]], "species": ["K", "Al", "Y", "K"], "frac_coords": [[0.0000, 0.0000, 0.9853], [0.5000, 0.5000, 0.7500], [0.5000, 0.5000, 0.2500], [0.0000, 0.0000, 0.5147]]}

Record 4
{"formula": "K2YAl", "functional": "PBE-GGA", "state": "optimized geometry", "n_ef_per_ev_fu": 3.074, "formation_enthalpy_0k_mev_per_atom": 431, "magmom_total_mub_per_cell": 0.015, "lattice": [[-4.0788, -5.8956, 2.4600], [0.7934, -0.2294, -5.5838], [2.4945, -2.6678, 0.3528]], "species": ["K", "K", "Y", "Al"], "frac_coords": [[0.0000, 0.5000, 0.5000], [0.0000, 0.0000, 0.0000], [0.5000, 0.5000, 0.0000], [0.5000, 0.0000, 0.5000]]}

Record 5
{"formula": "K4YAl", "functional": "PBE-GGA", "state": "optimized geometry", "n_ef_per_ev_fu": 4.490, "formation_enthalpy_0k_mev_per_atom": 680, "magmom_total_mub_per_cell": 0.000, "lattice": [[-4.9359, 1.4000, 5.1121], [-6.8606, 1.3754, -1.8701], [-5.1882, -4.8419, 1.4473]], "species": ["K", "K", "Y", "K", "K", "Al"], "frac_coords": [[0.3735, 0.3735, 0.8795], [0.3735, 0.3735, 0.3735], [0.7500, 0.7500, 0.7500], [0.8795, 0.3735, 0.3735], [0.3735, 0.8795, 0.3735], [0.0000, 0.0000, 0.0000]]}

Record 6
{"formula": "KY2Al2", "functional": "PBE-GGA", "state": "optimized geometry", "n_ef_per_ev_fu": 4.218, "formation_enthalpy_0k_mev_per_atom": -20, "e_above_lowest_polymorph_mev_per_atom": 30, "magmom_total_mub_per_cell": 0.000, "lattice": [[8.9274, 0.0000, 0.0000], [0.0000, 8.9274, 0.0000], [0.0000, 0.0000, 3.5449]], "species": ["K", "Y", "Y", "Y", "K", "Al", "Y", "Al", "Al", "Al"], "frac_coords": [[0.5000, 0.5000, 0.0000], [0.8259, 0.3259, 0.5000], [0.3259, 0.1741, 0.5000], [0.1741, 0.6741, 0.5000], [0.0000, 0.0000, 0.0000], [0.8885, 0.6115, 0.0000], [0.6741, 0.8259, 0.5000], [0.1115, 0.3885, 0.0000], [0.3885, 0.8885, 0.0000], [0.6115, 0.1115, 0.0000]]}

Record 7
{"formula": "K2YAl", "functional": "PBE-GGA", "state": "optimized geometry", "n_ef_per_ev_fu": 4.486, "formation_enthalpy_0k_mev_per_atom": 605, "magmom_total_mub_per_cell": 0.002, "lattice": [[-8.9456, -5.7651, -1.7503], [2.8361, -6.7936, 7.8820], [-4.5526, -4.5669, 5.0809]], "species": ["K", "Y", "Al", "Y", "K", "K", "K", "Al"], "frac_coords": [[0.2018, 0.6250, 0.2500], [0.7500, 0.2500, 0.5000], [0.5000, 0.5000, 0.0000], [0.0000, 0.0000, 0.0000], [0.5482, 0.1250, 0.2500], [0.8750, 0.7982, 0.7500], [0.3750, 0.4518, 0.7500], [0.2500, 0.7500, 0.5000]]}

Record 8
{"formula": "KYAl4", "functional": "PBE-GGA", "state": "optimized geometry", "n_ef_per_ev_fu": 4.383, "formation_enthalpy_0k_mev_per_atom": -94, "magmom_total_mub_per_cell": 0.000, "lattice": [[-1.3405, -2.2340, 5.0735], [-5.3785, 0.2254, 1.8839], [-3.1244, -4.7630, 0.2829]], "species": ["Al", "Y", "Al", "Al", "Al", "K"], "frac_coords": [[0.8770, 0.3743, 0.3743], [0.0000, 0.0000, 0.0000], [0.3743, 0.3743, 0.3743], [0.3743, 0.3743, 0.8770], [0.3743, 0.8770, 0.3743], [0.7500, 0.7500, 0.7500]]}